DFT (PBE) results for a geometry-optimized AcLaNdEu structure.

Results
As for the density of states at the Fermi level: 1.90 states/eV per atom. Its space group is F-43m. As for the energy of formation from the pure elements: 0.14 eV per atom.

Cell lengths 6.0859, 6.0859, 6.0859 Å; angles 60.00, 60.00, 60.00 degrees
Positions (direct):
La: 0.2500 0.2500 0.2500
Nd: 0.7500 0.7500 0.7500
Eu: 0.5000 0.5000 0.5000
Ac: 0.0000 0.0000 0.0000


DFT (PBE) results for a geometry-optimized AcLaPmEu structure.

Results
As for the density of states at the Fermi level: 1.91 states/eV per atom. Its space group is F-43m. As for the energy of formation from the pure elements: 0.14 eV per atom.

Cell lengths 6.0724, 6.0724, 6.0724 Å; angles 60.00, 60.00, 60.00 degrees
Positions (direct):
Eu: 0.0000 0.0000 0.0000
La: 0.2500 0.2500 0.2500
Pm: 0.7500 0.7500 0.7500
Ac: 0.5000 0.5000 0.5000


DFT (PBE) results for a geometry-optimized AcLaPrEu structure.

Results
As for the density of states at the Fermi level: 1.88 states/eV per atom. Its space group is F-43m. As for the energy of formation from the pure elements: 0.13 eV per atom.

Cell lengths 6.1006, 6.1006, 6.1006 Å; angles 60.00, 60.00, 60.00 degrees
Positions (direct):
Eu: 0.0000 0.0000 0.0000
La: 0.2500 0.2500 0.2500
Pr: 0.7500 0.7500 0.7500
Ac: 0.5000 0.5000 0.5000